1.
## NaGa2F6 (PBE-GGA)

Data for crystalline NaGa2F6 at its relaxed geometry.

Its magnetization is 0.000 μB per formula unit. The calculation puts the density of states at the Fermi level at 0.302 states/eV per atom. For the volume, the calculation gives 138 Å³/f.u. The value obtained for the total energy is -4.5069 eV per atom. As for the crystal system: trigonal. Its uncorrected formation energy is -2.440 eV per atom. The relative energy among the computed polymorphs is 0.5 kJ/mol of atoms. As for the space group: R3, No. 146.

Lattice parameters (Å, degrees): 5.4857 5.4857 6.1794 63.65 63.65 60.00
Last column: nearest neighbours and their distance in Å.
Positions (direct):
Na (0.3130, 0.3130, 0.0611)  6 F 2.31-2.46
Ga (0.8294, 0.8294, 0.5118)  6 F 2.08-2.23
Ga (0.5088, 0.5088, 0.4737)  6 F 1.92-1.97
F (0.6901, 0.4801, 0.7013)  2 Ga 1.97-2.08
F (0.1285, 0.6901, 0.7013)  2 Ga 1.97-2.08
F (0.4801, 0.1285, 0.7013)  2 Ga 1.97-2.08
F (0.2669, 0.5856, 0.2841)  1 Ga 1.92
F (0.8634, 0.2669, 0.2841)  1 Ga 1.92
F (0.5856, 0.8634, 0.2841)  1 Ga 1.92

---

2.
## CoOsRu (PBE-GGA)

Data for crystalline CoOsRu at its relaxed geometry.

Its magnetization is 0.406 μB per formula unit. The calculation puts the density of states at the Fermi level at 1.130 states/eV per atom. For the volume, the calculation gives 39 Å³/f.u. The value obtained for the total energy is -9.0401 eV per atom. As for the crystal system: tetragonal. The relative energy among the computed polymorphs is 10.7 kJ/mol of atoms. The calculated formation energy is 0.16 eV per atom. As for the space group: I4mm, No. 107.

Lattice parameters (Å, degrees): 5.8169 5.8169 5.8169 153.53 153.53 37.78
Last column: nearest neighbours and their distance in Å.
Positions (direct):
Co (0.9984, 0.9984, 0.0000)  4 Os 2.59, 4 Ru 2.62, 4 Co 2.66
Os (0.3370, 0.3370, 0.0000)  4 Co 2.59, 4 Os 2.66, 4 Ru 2.67
Ru (0.6645, 0.6645, 0.0000)  4 Co 2.62, 4 Ru 2.66, 4 Os 2.67

---

3.
## Sr2PbS2I2 (PBE-GGA)

Data for crystalline Sr2PbS2I2 at its relaxed geometry.

Its magnetization is 0.000 μB per formula unit. For the volume, the calculation gives 252 Å³/f.u. The value obtained for the total energy is -3.8994 eV per atom. As for the crystal system: tetragonal. Its uncorrected formation energy is -1.267 eV per atom. As for the space group: I4/mmm, No. 139.

Lattice parameters (Å, degrees): 5.4913 5.4913 9.2261 107.31 107.31 90.00
Last column: nearest neighbours and their distance in Å.
Positions (direct):
Sr (0.3926, 0.3926, 0.7851)  4 S 3.28, 1 I 3.30, 1 Sr 3.60
Sr (0.6074, 0.6074, 0.2149)  4 S 3.28, 1 I 3.30, 1 Sr 3.60
Pb (0.0000, 0.0000, 0.0000)  4 S 2.75
S (0.0000, 0.5000, 0.0000)  2 Pb 2.75
S (0.5000, 0.0000, 0.0000)  2 Pb 2.75
I (0.1957, 0.1957, 0.3913)  1 Pb 3.28, 1 Sr 3.30
I (0.8043, 0.8043, 0.6087)  1 Pb 3.28, 1 Sr 3.30

---

4.
## PaOF3 (PBE-GGA)

Data for crystalline PaOF3 at its relaxed geometry.

Its magnetization is 0.000 μB per formula unit. The calculation puts the density of states at the Fermi level at 0.000 states/eV per atom. For the volume, the calculation gives 69 Å³/f.u. The value obtained for the total energy is -7.6482 eV per atom. As for the crystal system: trigonal. Its uncorrected formation energy is -3.635 eV per atom. The relative energy among the computed polymorphs is 5.4 kJ/mol of atoms. As for the space group: R-3c, No. 167.

Lattice parameters (Å, degrees): 5.1903 5.1903 5.1903 94.13 94.13 94.13
Last column: nearest neighbours and their distance in Å.
Positions (direct):
Pa (0.7500, 0.7500, 0.7500)  2 O 2.08, 3 F 2.14
Pa (0.2500, 0.2500, 0.2500)  2 O 2.08, 3 F 2.14
O (0.0000, 0.0000, 0.0000)  2 Pa 2.08
O (0.5000, 0.5000, 0.5000)  2 Pa 2.08
F (0.4688, 0.0312, 0.7500)  1 Pa 2.14
F (0.7500, 0.4688, 0.0312)  1 Pa 2.14
F (0.0312, 0.7500, 0.4688)  1 Pa 2.14
F (0.9688, 0.2500, 0.5312)  1 Pa 2.14
F (0.2500, 0.5312, 0.9688)  1 Pa 2.14
F (0.5312, 0.9688, 0.2500)  1 Pa 2.14

---

5.
## CuTc2HRu (PBE-GGA)

Data for crystalline CuTc2HRu at its relaxed geometry.

Its magnetization is 0.000 μB per formula unit. The calculation puts the density of states at the Fermi level at 0.981 states/eV per atom. For the volume, the calculation gives 58 Å³/f.u. The value obtained for the total energy is -7.2290 eV per atom. As for the crystal system: tetragonal. As for the space group: P4/mmm, No. 123.

Lattice parameters (Å, degrees): 3.8650 3.8866 3.8650 90.00 90.00 90.00
Last column: nearest neighbours and their distance in Å.
Positions (direct):
Ru (0.0000, 0.5000, 0.0000)  2 H 1.94
Tc (0.0000, 0.0000, 0.5000)  2 H 1.93
Tc (0.5000, 0.0000, 0.0000)  2 H 1.93
Cu (0.5000, 0.5000, 0.5000)  4 Ru 2.73, 8 Tc 2.74
H (0.0000, 0.0000, 0.0000)  4 Tc 1.93, 2 Ru 1.94

---

6.
## SmThZr2 (PBE-GGA)

Data for crystalline SmThZr2 at its relaxed geometry.

Its magnetization is 0.000 μB per formula unit. The calculation puts the density of states at the Fermi level at 1.431 states/eV per atom. For the volume, the calculation gives 110 Å³/f.u. The value obtained for the total energy is -7.1596 eV per atom. As for the crystal system: tetragonal. The relative energy among the computed polymorphs is 2.0 kJ/mol of atoms. The calculated formation energy is 0.15 eV per atom. As for the space group: P4/mmm, No. 123.

Lattice parameters (Å, degrees): 4.7818 4.7923 4.7923 90.00 90.00 90.00
Last column: nearest neighbours and their distance in Å.
Positions (direct):
Zr (0.0000, 0.0000, 0.5000)  4 Th 3.38, 4 Sm 3.38, 4 Zr 3.39
Zr (0.0000, 0.5000, 0.0000)  4 Th 3.38, 4 Sm 3.38, 4 Zr 3.39
Sm (0.5000, 0.0000, 0.0000)  8 Zr 3.38, 4 Th 3.39
Th (0.5000, 0.5000, 0.5000)  8 Zr 3.38, 4 Sm 3.39

---

7.
## LaNd3Bi2 (PBE-GGA)

Data for crystalline LaNd3Bi2 at its relaxed geometry.

Its magnetization is 0.000 μB per formula unit. The calculation puts the density of states at the Fermi level at 1.048 states/eV per atom. For the volume, the calculation gives 199 Å³/f.u. The value obtained for the total energy is -5.1560 eV per atom. As for the crystal system: tetragonal. The relative energy among the computed polymorphs is 0.0 kJ/mol of atoms. The calculated formation energy is -0.66 eV per atom. As for the space group: P-4m2, No. 115.

Lattice parameters (Å, degrees): 4.6761 4.6761 9.1099 90.00 90.00 90.00
Last column: nearest neighbours and their distance in Å.
Positions (direct):
La (0.5000, 0.5000, 0.0000)  4 Nd 3.31, 4 Bi 3.48
Nd (0.5000, 0.0000, 0.3559)  5 Bi 3.29-3.37
Nd (0.0000, 0.5000, 0.6441)  5 Bi 3.29-3.37
Nd (0.0000, 0.0000, 0.0000)  4 La 3.31, 4 Bi 3.48
Bi (0.5000, 0.0000, 0.7175)  7 Nd 3.29-3.48, 2 La 3.48
Bi (0.0000, 0.5000, 0.2825)  7 Nd 3.29-3.48, 2 La 3.48

---

8.
## AcNd2Sm2 (PBE-GGA)

Data for crystalline AcNd2Sm2 at its relaxed geometry.

Its magnetization is 0.000 μB per formula unit. The calculation puts the density of states at the Fermi level at 1.803 states/eV per atom. For the volume, the calculation gives 193 Å³/f.u. The value obtained for the total energy is -4.2457 eV per atom. As for the crystal system: orthorhombic. The relative energy among the computed polymorphs is 33.1 kJ/mol of atoms. The calculated formation energy is 0.37 eV per atom. As for the space group: Fddd, No. 70.

Lattice parameters (Å, degrees): 9.0698 9.0698 12.0790 91.74 91.74 156.81
Last column: nearest neighbours and their distance in Å.
Positions (direct):
Ac (0.7500, 0.2500, 0.5000)  4 Nd 3.56, 2 Ac 3.65, 4 Sm 3.75
Ac (0.5000, 0.5000, 0.0000)  4 Nd 3.56, 2 Ac 3.65, 4 Sm 3.75
Nd (0.4218, 0.5782, 0.5000)  4 Nd 3.32-3.65, 2 Sm 3.39, 2 Ac 3.56
Nd (0.1718, 0.8282, 0.0000)  4 Nd 3.32-3.65, 2 Sm 3.39, 2 Ac 3.56
Nd (0.0782, 0.9218, 0.5000)  4 Nd 3.32-3.65, 2 Sm 3.39, 2 Ac 3.56
Nd (0.8282, 0.1718, 0.0000)  4 Nd 3.32-3.65, 2 Sm 3.39, 2 Ac 3.56
Sm (0.1250, 0.3750, 0.7500)  2 Nd 3.39, 2 Sm 3.65, 2 Ac 3.75
Sm (0.6250, 0.3750, 0.2500)  2 Nd 3.39, 2 Sm 3.65, 2 Ac 3.75
Sm (0.6250, 0.3750, 0.7500)  2 Nd 3.39, 2 Sm 3.65, 2 Ac 3.75
Sm (0.6250, 0.8750, 0.2500)  2 Nd 3.39, 2 Sm 3.65, 2 Ac 3.75

---

9.
## SrCuIr2 (PBE-GGA)

Data for crystalline SrCuIr2 at its relaxed geometry.

Its magnetization is 0.998 μB per formula unit. The calculation puts the density of states at the Fermi level at 1.290 states/eV per atom. For the volume, the calculation gives 72 Å³/f.u. The value obtained for the total energy is -5.3795 eV per atom. As for the crystal system: cubic. The relative energy among the computed polymorphs is 29.4 kJ/mol of atoms. The calculated formation energy is 0.50 eV per atom. As for the space group: F-43m, No. 216.

Lattice parameters (Å, degrees): 4.6617 4.6617 4.6617 60.00 60.00 60.00
Last column: nearest neighbours and their distance in Å.
Positions (direct):
Cu (0.5000, 0.5000, 0.5000)  4 Ir 2.85, 4 Sr 2.85
Ir (0.0000, 0.0000, 0.0000)  4 Sr 2.85, 4 Ir 2.85
Ir (0.7500, 0.7500, 0.7500)  4 Ir 2.85, 4 Cu 2.85
Sr (0.2500, 0.2500, 0.2500)  4 Ir 2.85, 4 Cu 2.85

---

10.
## HgSeS2 (PBE-GGA)

Data for crystalline HgSeS2 at its relaxed geometry.

Its magnetization is 0.000 μB per formula unit. The calculation puts the density of states at the Fermi level at 0.009 states/eV per atom. For the volume, the calculation gives 103 Å³/f.u. The value obtained for the total energy is -2.7204 eV per atom. As for the crystal system: tetragonal. Its uncorrected formation energy is 0.290 eV per atom. The relative energy among the computed polymorphs is 24.4 kJ/mol of atoms. As for the space group: I-42d, No. 122.

Lattice parameters (Å, degrees): 5.3164 5.3164 8.1741 71.02 71.02 90.00
Last column: nearest neighbours and their distance in Å.
Positions (direct):
S (0.5925, 0.1250, 0.2500)  2 Se 2.53, 2 Hg 2.70
S (0.1575, 0.6250, 0.2500)  2 Se 2.53, 2 Hg 2.70
S (0.3750, 0.4075, 0.7500)  2 Se 2.53, 2 Hg 2.70
S (0.8750, 0.8425, 0.7500)  2 Se 2.53, 2 Hg 2.70
Hg (0.0000, 0.0000, 0.0000)  4 S 2.70
Hg (0.7500, 0.2500, 0.5000)  4 S 2.70
Se (0.5000, 0.5000, 0.0000)  4 S 2.53
Se (0.2500, 0.7500, 0.5000)  4 S 2.53

---

11.
## Dy2Si4Mo3 (PBE-GGA)

Data for crystalline Dy2Si4Mo3 at its relaxed geometry.

Its magnetization is 0.000 μB per formula unit. The calculation puts the density of states at the Fermi level at 0.488 states/eV per atom. For the volume, the calculation gives 152 Å³/f.u. The value obtained for the total energy is -7.7234 eV per atom. As for the crystal system: monoclinic. Its uncorrected formation energy is -0.680 eV per atom. As for the space group: P2_1/c, No. 14.

Lattice parameters (Å, degrees): 6.9232 6.7559 6.8628 71.07 90.00 90.00
Last column: nearest neighbours and their distance in Å.
Positions (direct):
Dy (0.6697, 0.4383, 0.1904)  7 Si 2.81-3.04
Dy (0.1697, 0.0617, 0.8096)  7 Si 2.81-3.04
Dy (0.3303, 0.5617, 0.8096)  7 Si 2.81-3.04
Dy (0.8303, 0.9383, 0.1904)  7 Si 2.81-3.04
Si (0.4551, 0.1320, 0.0902)  4 Mo 2.55-2.68, 1 Si 2.56, 1 Dy 2.81
Si (0.9551, 0.3680, 0.9098)  4 Mo 2.55-2.68, 1 Si 2.56, 1 Dy 2.81
Si (0.5449, 0.8680, 0.9098)  4 Mo 2.55-2.68, 1 Si 2.56, 1 Dy 2.81
Si (0.0449, 0.6320, 0.0902)  4 Mo 2.55-2.68, 1 Si 2.56, 1 Dy 2.81
Si (0.8684, 0.1282, 0.5047)  1 Si 2.53, 5 Mo 2.54-2.70, 1 Dy 2.83
Si (0.3684, 0.3718, 0.4953)  1 Si 2.53, 5 Mo 2.54-2.70, 1 Dy 2.83
Si (0.1316, 0.8718, 0.4953)  1 Si 2.53, 5 Mo 2.54-2.70, 1 Dy 2.83
Si (0.6316, 0.6282, 0.5047)  1 Si 2.53, 5 Mo 2.54-2.70, 1 Dy 2.83
Mo (0.5000, 0.0000, 0.5000)  6 Si 2.66-2.70
Mo (0.0000, 0.5000, 0.5000)  6 Si 2.66-2.70
Mo (0.1624, 0.2511, 0.2498)  6 Si 2.54-2.64
Mo (0.6624, 0.2489, 0.7502)  6 Si 2.54-2.64
Mo (0.8376, 0.7489, 0.7502)  6 Si 2.54-2.64
Mo (0.3376, 0.7511, 0.2498)  6 Si 2.54-2.64

---

12.
## CdReO2 (PBE-GGA)

Data for crystalline CdReO2 at its relaxed geometry.

Its magnetization is 0.000 μB per formula unit. The calculation puts the density of states at the Fermi level at 0.366 states/eV per atom. For the volume, the calculation gives 53 Å³/f.u. The value obtained for the total energy is -6.6659 eV per atom. As for the crystal system: trigonal. Its uncorrected formation energy is -0.846 eV per atom. As for the space group: R-3m, No. 166.

Lattice parameters (Å, degrees): 7.9089 7.9089 7.9089 20.38 20.38 20.38
Last column: nearest neighbours and their distance in Å.
Positions (direct):
Re (0.5000, 0.5000, 0.5000)  6 O 2.09
O (0.8907, 0.8907, 0.8907)  3 Re 2.09
O (0.1093, 0.1093, 0.1093)  3 Re 2.09
Cd (0.0000, 0.0000, 0.0000)  2 O 2.54, 6 Cd 2.80

---

13.
## HfBe2Al (PBE-GGA)

Data for crystalline HfBe2Al at its relaxed geometry.

Its magnetization is 0.000 μB per formula unit. The calculation puts the density of states at the Fermi level at 0.399 states/eV per atom. For the volume, the calculation gives 55 Å³/f.u. The value obtained for the total energy is -5.4361 eV per atom. As for the crystal system: tetragonal. The calculated formation energy is -0.15 eV per atom. As for the space group: P4/mmm, No. 123.

Lattice parameters (Å, degrees): 3.6036 3.9148 3.9148 90.00 90.00 90.00
Last column: nearest neighbours and their distance in Å.
Positions (direct):
Be (0.0000, 0.0000, 0.5000)  4 Hf 2.66, 4 Al 2.66, 4 Be 2.77
Be (0.0000, 0.5000, 0.0000)  4 Hf 2.66, 4 Al 2.66, 4 Be 2.77
Hf (0.5000, 0.5000, 0.5000)  8 Be 2.66, 4 Al 2.77
Al (0.5000, 0.0000, 0.0000)  8 Be 2.66, 4 Hf 2.77